[1]
Material: Tc2HgPb
Method: DFT, PBE
State: optimized geometry

Lattice parameters (Å, degrees): 4.6898 4.6898 3.2981 90.00 90.00 90.00
Space group P4/mmm (No. 123)
Unique sites:
Tc  0.0000  0.5000  0.0000 (multiplicity 2)
Hg  0.0000  0.0000  0.5000 (multiplicity 1)
Pb  0.5000  0.5000  0.5000 (multiplicity 1)

Properties
- Offset from the most stable computed form: 0.5367 eV/atom
- Calculated formation energy: 0.8107 eV/atom
- Total energy: -21.50 eV/f.u.
- V: 18.1 Å³ per atom
- Density: 13.8 g/cm³
- DOS at the Fermi energy: 1.164 states/eV per atom

[2]
Material: NaLiBi3
Method: DFT, PBE
State: optimized geometry

Lattice parameters (Å, degrees): 5.5757 5.5757 5.5757 90.00 90.00 90.00
Space group Pm-3m (No. 221)
Unique sites:
Na  0.0000  0.0000  0.0000 (multiplicity 1)
Li  0.5000  0.5000  0.5000 (multiplicity 1)
Bi  0.0000  0.0000  0.5000 (multiplicity 3)

Properties
- Offset from the most stable computed form: 0.5541 eV/atom
- Calculated formation energy: 0.4137 eV/atom
- Total energy: -12.81 eV/f.u.
- V: 34.7 Å³ per atom
- Density: 6.3 g/cm³
- DOS at the Fermi energy: 0.607 states/eV per atom

[3]
Material: Sr2Tl4Bi
Method: DFT, PBE
State: optimized geometry

Lattice parameters (Å, degrees): 13.1250 13.1250 4.0448 90.00 90.00 90.00
Space group P4_2/mnm (No. 136)
Unique sites:
Sr  0.1379  0.1379  0.0000 (multiplicity 4)
Tl  0.0458  0.3731  0.0000 (multiplicity 8)
Bi  0.0000  0.0000  0.5000 (multiplicity 2)

Properties
- Offset from the most stable computed form: 0.0000 eV/atom
- Calculated formation energy: 0.0418 eV/atom
- Total energy: -16.42 eV/f.u.
- V: 49.8 Å³ per atom
- Density: 5.7 g/cm³
- DOS at the Fermi energy: 0.762 states/eV per atom

[4]
Material: KAg6Br12
Method: DFT, PBE
State: optimized geometry

Lattice parameters (Å, degrees): 15.1755 15.1755 8.6079 90.00 90.00 120.00
Space group R-3 (No. 148, hexagonal axes)
Unique sites:
K  0.0000  0.0000  0.0000 (multiplicity 3)
Ag  0.0064  0.4998  0.2479 (multiplicity 18)
Br  0.0239  0.8019  0.8834 (multiplicity 18)
Br  0.0306  0.8200  0.3723 (multiplicity 18)

Properties
- Total energy: -45.50 eV/f.u.
- V: 30.1 Å³ per atom
- ΔE_f (raw): -696.5 kJ/mol of formula units
- Density: 4.8 g/cm³
- DOS at the Fermi energy: 0.811 states/eV per atom

[5]
Material: RbLaReRh2
Method: DFT, PBE
State: optimized geometry

Lattice parameters (Å, degrees): 4.9293 4.9293 5.3844 90.00 90.00 90.00
Space group P4/mmm (No. 123)
Unique sites:
Rb  0.0000  0.0000  0.0000 (multiplicity 1)
La  0.5000  0.5000  0.0000 (multiplicity 1)
Re  0.5000  0.5000  0.5000 (multiplicity 1)
Rh  0.0000  0.5000  0.5000 (multiplicity 2)

Properties
- Offset from the most stable computed form: 0.0000 eV/atom
- Calculated formation energy: 0.6298 eV/atom
- Total energy: -29.90 eV/f.u.
- V: 26.2 Å³ per atom
- Density: 7.8 g/cm³
- DOS at the Fermi energy: 1.206 states/eV per atom